Entry i
## Mg2Al2Ag7 (PBE)

Data for an optimized crystal structure of Mg2Al2Ag7.

The structure belongs to space group C2/m (No. 12); the cell edges are 5.790, 8.832 and 7.887 Å and the angles 90.00°, 92.12° and 90.00°. The inequivalent atoms are Mg at (0.000, 0.231, 0.000), Al at (0.180, 0.500, 0.834), Ag at (0.000, 0.500, 0.500), Ag at (0.127, 0.213, 0.344) and Ag at (0.215, 0.000, 0.813).

The volume comes out at 403.0 Å³ per cell. The value obtained for the total moment is 0.0 μB/f.u.

Entry ii
## Mg2Al2Ag7 (PBE)

Data for an optimized crystal structure of Mg2Al2Ag7.

The structure belongs to space group Imm2 (No. 44); the cell edges are 4.566, 12.242 and 7.038 Å and the angles 90.00°, 90.00° and 90.00°. The inequivalent atoms are Mg at (0.000, 0.213, 0.000), Al at (0.000, 0.000, 0.772), Al at (0.000, 0.500, 0.987), Ag at (0.000, 0.000, 0.155), Ag at (0.000, 0.148, 0.484), Ag at (0.000, 0.359, 0.700) and Ag at (0.000, 0.371, 0.295).

The volume comes out at 393.4 Å³ per cell. The value obtained for the total moment is 0.0 μB/f.u.

Which is the most stable structure? entry ii is the most stable.

Entry i
## MgAl6Ag12 (PBE)

Data for an optimized crystal structure of MgAl6Ag12.

The structure belongs to space group R-3m (No. 166, hexagonal axes); the cell edges are 12.1340, 12.1340 and 8.4927 Å and the angles 90.00°, 90.00° and 120.00°. The inequivalent atoms are Mg at (0.0000, 0.0000, 0.0000), Al at (0.0712, 0.5356, 0.2355), Ag at (0.0000, 0.3825, 0.5000) and Ag at (0.0799, 0.1598, 0.2728).

The volume comes out at 1082.9 Å³ per cell. The value obtained for the total moment is 0.0 μB/f.u.

Entry ii
## MgAl6Ag12 (PBE)

Data for an optimized crystal structure of MgAl6Ag12.

The structure belongs to space group R-3 (No. 148, hexagonal axes); the cell edges are 12.5682, 12.5682 and 7.1119 Å and the angles 90.00°, 90.00° and 120.00°. The inequivalent atoms are Mg at (0.0000, 0.0000, 0.0000), Al at (0.0314, 0.2757, 0.3244), Ag at (0.0088, 0.1392, 0.6638) and Ag at (0.0646, 0.5630, 0.6720).

The volume comes out at 972.9 Å³ per cell. The value obtained for the total moment is 0.0 μB/f.u.

Which is the most stable structure? entry ii is the most stable.

Entry i
## MnAlAg3 (PBE)

Data for an optimized crystal structure of MnAlAg3.

The structure belongs to space group Pm-3m (No. 221); the cell edges are 4.793, 4.793 and 4.793 Å and the angles 90.00°, 90.00° and 90.00°. The inequivalent atoms are Mn at (0.000, 0.000, 0.000), Al at (0.500, 0.500, 0.500) and Ag at (0.000, 0.500, 0.500).

The volume comes out at 110.1 Å³ per cell. The value obtained for the total moment is 4.6 μB/f.u.

Entry ii
## MnAlAg3 (PBE)

Data for an optimized crystal structure of MnAlAg3.

The structure belongs to space group Pm-3m (No. 221); the cell edges are 4.970, 4.970 and 4.970 Å and the angles 90.00°, 90.00° and 90.00°. The inequivalent atoms are Mn at (0.000, 0.000, 0.000), Al at (0.500, 0.500, 0.500) and Ag at (0.000, 0.000, 0.500).

The volume comes out at 122.8 Å³ per cell. The value obtained for the total moment is 4.3 μB/f.u.

Which is the most stable structure? entry i is the most stable.

Entry i
## MnAl4Ag (PBE)

Data for an optimized crystal structure of MnAl4Ag.

The structure belongs to space group F-43m (No. 216); the cell edges are 7.402, 7.402 and 7.402 Å and the angles 90.00°, 90.00° and 90.00°. The inequivalent atoms are Mn at (0.000, 0.000, 0.000), Al at (0.125, 0.125, 0.375) and Ag at (0.250, 0.250, 0.750).

The volume comes out at 405.6 Å³ per cell. The value obtained for the total moment is 3.2 μB/f.u.

Entry ii
## MnAl4Ag (PBE)

Data for an optimized crystal structure of MnAl4Ag.

The structure belongs to space group C2/c (No. 15); the cell edges are 8.263, 10.635 and 4.744 Å and the angles 90.00°, 110.33° and 90.00°. The inequivalent atoms are Mn at (0.000, 0.002, 0.250), Al at (0.115, 0.187, 0.066), Al at (0.241, 0.411, 0.350) and Ag at (0.000, 0.405, 0.750).

The volume comes out at 390.9 Å³ per cell. The value obtained for the total moment is 0.0 μB/f.u.

Which is the most stable structure? entry ii is the most stable.

Entry i
## Mn2Al2Ag (PBE)

Data for an optimized crystal structure of Mn2Al2Ag.

The structure belongs to space group P4/mbm (No. 127); the cell edges are 7.176, 7.176 and 2.755 Å and the angles 90.00°, 90.00° and 90.00°. The inequivalent atoms are Mn at (0.102, 0.398, 0.000), Al at (0.187, 0.687, 0.500) and Ag at (0.000, 0.000, 0.000).

The volume comes out at 141.9 Å³ per cell. The value obtained for the total moment is 0.0 μB/f.u.

Entry ii
## Mn2Al2Ag (PBE)

Data for an optimized crystal structure of Mn2Al2Ag.

The structure belongs to space group P4/mbm (No. 127); the cell edges are 7.196, 7.196 and 2.879 Å and the angles 90.00°, 90.00° and 90.00°. The inequivalent atoms are Mn at (0.165, 0.335, 0.000), Al at (0.131, 0.631, 0.500) and Ag at (0.000, 0.000, 0.500).

The volume comes out at 149.1 Å³ per cell. The value obtained for the total moment is 5.7 μB/f.u.

Which is the most stable structure? entry ii is the most stable.